# 1
Computed, not measured: a crystal of ZrIrN2F relaxed with PBEsol at the meta-GGA SCAN level of DFT.

Magnetization, μB per formula unit: 1.8
V, Å³/atom: 13.70
Crystal system: tetragonal
ρ, g cm⁻³: 8.01
Formation energy from raw total energies, eV/atom: 0.163

a b c (Å): 4.207 4.207 3.871
angles (deg): 90.00 90.00 90.00
Positions (direct):
Zr 0.000 0.000 0.000
Ir 0.500 0.500 0.500
N 0.000 0.500 0.000
N 0.500 0.000 0.000
F 0.000 0.000 0.500

# 2
Computed, not measured: a crystal of RbNbIr2F relaxed with PBEsol at the meta-GGA SCAN level of DFT.

Magnetization, μB per formula unit: 1.0
V, Å³/atom: 18.50
Crystal system: tetragonal
ρ, g cm⁻³: 10.44
Formation energy from raw total energies, eV/atom: 1.260

a b c (Å): 4.798 4.798 4.018
angles (deg): 90.00 90.00 90.00
Positions (direct):
Rb 0.000 0.000 0.000
Nb 0.500 0.500 0.000
Ir 0.000 0.500 0.500
Ir 0.500 0.000 0.500
F 0.500 0.500 0.500

# 3
Computed, not measured: a crystal of Ni3IrF relaxed with PBEsol at the meta-GGA SCAN level of DFT.

Magnetization, μB per formula unit: 4.0
V, Å³/atom: 11.44
Crystal system: cubic
ρ, g cm⁻³: 11.24
Formation energy from raw total energies, eV/atom: 0.210

a b c (Å): 3.853 3.853 3.853
angles (deg): 90.00 90.00 90.00
Positions (direct):
Ni 0.000 0.000 0.500
Ni 0.000 0.500 0.000
Ni 0.500 0.000 0.000
Ir 0.500 0.500 0.500
F 0.000 0.000 0.000

# 4
Computed, not measured: a crystal of NiPIr2F relaxed with PBEsol at the meta-GGA SCAN level of DFT.

Magnetization, μB per formula unit: 2.2
V, Å³/atom: 13.71
Crystal system: tetragonal
ρ, g cm⁻³: 11.94
Formation energy from raw total energies, eV/atom: 1.129

a b c (Å): 4.394 4.394 3.550
angles (deg): 90.00 90.00 90.00
Positions (direct):
Ni 0.000 0.000 0.000
P 0.500 0.500 0.000
Ir 0.000 0.500 0.500
Ir 0.500 0.000 0.500
F 0.000 0.000 0.500

# 5
Computed, not measured: a crystal of NiIrPt2F relaxed with PBEsol at the meta-GGA SCAN level of DFT.

Magnetization, μB per formula unit: 1.4
V, Å³/atom: 20.19
Crystal system: tetragonal
ρ, g cm⁻³: 10.86
Formation energy from raw total energies, eV/atom: 1.238

a b c (Å): 4.724 4.724 4.522
angles (deg): 90.00 90.00 90.00
Positions (direct):
Ni 0.000 0.000 0.000
Ir 0.000 0.000 0.500
Pt 0.000 0.500 0.500
Pt 0.500 0.000 0.500
F 0.500 0.500 0.000

# 6
Computed, not measured: a crystal of Rb2NiIrF relaxed with PBEsol at the meta-GGA SCAN level of DFT.

Magnetization, μB per formula unit: 1.2
V, Å³/atom: 33.07
Crystal system: tetragonal
ρ, g cm⁻³: 4.43
Formation energy from raw total energies, eV/atom: 0.114

a b c (Å): 6.164 6.164 4.352
angles (deg): 90.00 90.00 90.00
Positions (direct):
Rb 0.000 0.500 0.000
Rb 0.500 0.000 0.000
Ni 0.000 0.000 0.500
Ir 0.000 0.000 0.000
F 0.500 0.500 0.500

What is the V in the second record?
18.50 Å³/atom

What is the formation energy from raw total energies in the fourth record?
1.129 eV/atom